## w
A relaxed structure of CsSn2Bi2. Source: Alexandria via LeMat-Bulk, functional PBE.

The structure in POSCAR format:
```
CsSn2Bi2
1.0
-5.061 0.162 2.656
1.960 -3.634 3.956
0.318 2.844 6.587
Bi Sn Cs
2 2 1
direct
0.750 0.250 0.500
0.250 0.750 0.500
0.632 0.632 0.736
0.368 0.368 0.264
0.000 0.000 0.000
```

Crystal system: tetragonal
Total magnetic moment (μB/f.u.): 0.000



## x
A relaxed structure of CsSn2Bi2. Source: Alexandria via LeMat-Bulk, functional PBE.

The structure in POSCAR format:
```
CsSn2Bi2
1.0
9.613 0.000 0.000
0.000 9.613 0.000
0.000 0.000 4.038
Bi Cs Sn
4 2 4
direct
0.125 0.375 0.000
0.375 0.875 0.000
0.875 0.625 0.000
0.625 0.125 0.000
0.000 0.000 0.000
0.500 0.500 0.000
0.361 0.139 0.500
0.139 0.639 0.500
0.639 0.861 0.500
0.861 0.361 0.500
```

Crystal system: tetragonal
Total magnetic moment (μB/f.u.): 0.000



Most stable pick: w. Distance to second place: 0.083 eV/atom.



## w
A relaxed structure of Cs3SnBi2. Source: Alexandria via LeMat-Bulk, functional PBE.

The structure in POSCAR format:
```
Cs3SnBi2
1.0
5.606 0.000 0.000
2.803 10.295 0.950
2.803 3.406 12.766
Cs Bi Sn
6 4 2
direct
0.215 0.172 0.397
0.785 0.828 0.603
0.339 0.328 0.994
0.939 0.869 0.253
0.661 0.672 0.006
0.061 0.131 0.747
0.875 0.466 0.785
0.590 0.271 0.548
0.125 0.534 0.215
0.410 0.729 0.452
0.572 0.517 0.339
0.428 0.483 0.661
```

Crystal system: monoclinic
Total magnetic moment (μB/f.u.): 0.077



## x
A relaxed structure of Cs3SnBi2. Source: Alexandria via LeMat-Bulk, functional PBE.

The structure in POSCAR format:
```
Cs3SnBi2
1.0
5.528 0.000 0.000
0.000 15.709 0.000
0.000 0.000 15.048
Cs Bi Sn
12 8 4
direct
0.750 0.302 0.830
0.750 0.611 0.927
0.250 0.389 0.073
0.750 0.198 0.330
0.250 0.064 0.877
0.250 0.111 0.573
0.750 0.564 0.623
0.750 0.936 0.123
0.750 0.889 0.427
0.250 0.802 0.670
0.250 0.436 0.377
0.250 0.698 0.170
0.750 0.183 0.071
0.750 0.976 0.703
0.750 0.317 0.571
0.250 0.024 0.297
0.250 0.683 0.429
0.250 0.817 0.929
0.750 0.524 0.203
0.250 0.476 0.797
0.250 0.134 0.144
0.750 0.866 0.856
0.750 0.634 0.356
0.250 0.366 0.644
```

Crystal system: orthorhombic
Total magnetic moment (μB/f.u.): 0.000



Most stable pick: x. Distance to second place: 0.083 eV/atom.



## w
A relaxed structure of Cs2SnBi. Source: Alexandria via LeMat-Bulk, functional PBE.

The structure in POSCAR format:
```
Cs2SnBi
1.0
-2.664 5.051 2.999
-6.480 -4.020 1.013
4.140 -1.554 6.295
Bi Sn Cs
2 2 4
direct
0.750 0.201 0.201
0.250 0.799 0.799
0.500 0.500 0.500
0.000 0.500 0.500
0.250 0.333 0.973
0.250 0.973 0.333
0.750 0.667 0.027
0.750 0.027 0.667
```

Crystal system: orthorhombic
Total magnetic moment (μB/f.u.): 0.000



## x
A relaxed structure of Cs2SnBi. Source: Alexandria via LeMat-Bulk, functional PBE.

The structure in POSCAR format:
```
Cs2SnBi
1.0
-4.002 -7.280 -6.502
5.753 1.935 8.628
-9.229 2.193 4.614
Bi Cs Sn
2 4 2
direct
0.250 0.750 0.500
0.000 0.000 0.000
0.049 0.875 0.674
0.125 0.799 0.174
0.201 0.375 0.326
0.625 0.951 0.826
0.750 0.250 0.500
0.500 0.500 0.000
```

Crystal system: tetragonal
Total magnetic moment (μB/f.u.): 0.005



Most stable pick: w. Distance to second place: 0.159 eV/atom.



## w
A relaxed structure of CsSnBi3. Source: Alexandria via LeMat-Bulk, functional PBE.

The structure in POSCAR format:
```
CsSnBi3
1.0
7.407 -0.006 0.000
-0.009 8.583 -0.009
0.001 -0.005 7.187
Bi Cs Sn
6 2 2
direct
0.990 0.519 0.470
0.491 0.834 0.971
0.990 0.518 0.930
0.770 0.979 0.701
0.269 0.374 0.200
0.491 0.834 0.431
0.494 0.373 0.700
0.996 0.979 0.201
0.633 0.561 0.201
0.133 0.792 0.701
```

Crystal system: triclinic
Total magnetic moment (μB/f.u.): 0.000



## x
A relaxed structure of CsSnBi3. Source: Alexandria via LeMat-Bulk, functional PBE.

The structure in POSCAR format:
```
CsSnBi3
1.0
6.006 0.000 0.000
0.000 6.006 0.000
0.000 0.000 6.006
Bi Sn Cs
3 1 1
direct
0.000 0.000 0.500
0.500 0.000 0.000
0.000 0.500 0.000
0.000 0.000 0.000
0.500 0.500 0.500
```

Crystal system: cubic
Total magnetic moment (μB/f.u.): 0.000



Most stable pick: w. Distance to second place: 0.333 eV/atom.



## w
A relaxed structure of Cs3Sn2Bi4. Source: Alexandria via LeMat-Bulk, functional PBE.

The structure in POSCAR format:
```
Cs3Sn2Bi4
1.0
2.744 6.908 0.037
-2.744 6.908 0.037
0.000 1.642 10.384
Sn Bi Cs
2 4 3
direct
0.703 0.703 0.639
0.297 0.297 0.361
0.276 0.276 0.073
0.892 0.892 0.431
0.108 0.108 0.569
0.724 0.724 0.927
0.404 0.404 0.714
0.596 0.596 0.286
0.000 0.000 0.000
```

Crystal system: monoclinic
Total magnetic moment (μB/f.u.): 0.000



## x
A relaxed structure of Cs3Sn2Bi4. Source: Alexandria via LeMat-Bulk, functional PBE.

The structure in POSCAR format:
```
Cs3Sn2Bi4
1.0
7.918 -0.229 -0.164
0.104 10.857 -0.107
0.104 3.397 10.312
Cs Sn Bi
6 4 8
direct
0.250 0.598 0.402
0.477 0.760 0.004
0.023 0.996 0.240
0.523 0.240 0.996
0.750 0.402 0.598
0.977 0.004 0.760
0.517 0.825 0.612
0.983 0.388 0.175
0.017 0.612 0.825
0.483 0.175 0.388
0.631 0.430 0.238
0.131 0.238 0.430
0.369 0.570 0.762
0.472 0.072 0.676
0.972 0.676 0.072
0.028 0.324 0.928
0.869 0.762 0.570
0.528 0.928 0.324
```

Crystal system: monoclinic
Total magnetic moment (μB/f.u.): 0.000



Most stable pick: w. Distance to second place: 0.088 eV/atom.



## w
A relaxed structure of CsTa3Bi. Source: Alexandria via LeMat-Bulk, functional PBE.

The structure in POSCAR format:
```
CsTa3Bi
1.0
5.105 0.000 0.000
0.000 5.105 0.000
0.000 0.000 5.105
Cs Ta Bi
1 3 1
direct
0.000 0.000 0.000
0.000 0.000 0.500
0.000 0.500 0.000
0.500 0.000 0.000
0.500 0.500 0.500
```

Crystal system: cubic
Total magnetic moment (μB/f.u.): 0.000



## x
A relaxed structure of CsTa3Bi. Source: Alexandria via LeMat-Bulk, functional PBE.

The structure in POSCAR format:
```
CsTa3Bi
1.0
5.381 0.000 0.000
0.000 5.381 0.000
0.000 0.000 5.381
Ta Cs Bi
3 1 1
direct
0.000 0.000 0.500
0.500 0.000 0.000
0.000 0.500 0.000
0.500 0.500 0.500
0.000 0.000 0.000
```

Crystal system: cubic
Total magnetic moment (μB/f.u.): 0.000



Most stable pick: x. Distance to second place: 0.508 eV/atom.